# 1
# K2DyErO4

A geometry-optimized K2DyErO4 structure (PBE, Alexandria via LeMat-Bulk).

Output
Total magnetic moment, Bohr magnetons per cell: 0.0
VASP energy, eV per formula unit: -53.45
E_form (uncorrected), meV/atom: -2782

Cell lengths 6.0008, 3.4643, 6.5685 Å; angles 90.00, 107.73, 90.00 degrees
Closest atoms and distances in Å follow each position.
Space group P2/m (No. 10)
Asymmetric unit:
K 0.0000 0.0000 0.0000 x1  6 O 2.82
K 0.5000 0.5000 0.0000 x1  6 O 2.80
Dy 0.0000 0.5000 0.5000 x1  6 O 2.32
Er 0.5000 0.0000 0.5000 x1  6 O 2.30
O 0.2305 0.0000 0.6849 x2  1 Er 2.30, 2 Dy 2.32
O 0.2741 0.5000 0.3157 x2  2 Er 2.30, 1 Dy 2.32

# 2
# KDy4ErS8

A geometry-optimized KDy4ErS8 structure (PBE, Alexandria via LeMat-Bulk).

Output
Total magnetic moment, Bohr magnetons per cell: 0.0
VASP energy, eV per formula unit: -84.19
E_form (uncorrected), meV/atom: -1936

Cell lengths 8.2150, 8.2150, 20.0226 Å; angles 90.00, 90.00, 120.00 degrees
Closest atoms and distances in Å follow each position.
Space group R3m (No. 160, hexagonal axes)
Asymmetric unit:
K 0.0000 0.0000 0.0000 x3  4 S 2.84-2.85
Dy 0.0000 0.0000 0.2489 x3  4 S 2.66-2.67
Dy 0.1728 0.3455 0.4559 x9  6 S 2.67-2.88
Er 0.0000 0.0000 0.6286 x3  6 S 2.64-2.86
S 0.0000 0.0000 0.3815 x3  4 Dy 2.66-2.87
S 0.0000 0.0000 0.8578 x3  3 Dy 2.67, 1 K 2.85
S 0.0455 0.5227 0.3788 x9  1 Er 2.64, 2 Dy 2.67, 1 K 2.84
S 0.1772 0.3543 0.2054 x9  3 Dy 2.67-2.88, 1 Er 2.86